Below is a relaxed Dy2S crystal, with properties calculated at the PBE level.

## Properties
electronic total energy	-102.25	eV per cell

abc: 8.608 8.608 8.608
angles: 90.00 90.00 90.00
Space group Fd-3m (No. 227, origin choice 2)
Symmetry-distinct sites (fractional):
Dy1 0.000 0.000 0.000 x16
S1 0.125 0.125 0.625 x8

---

Below is a relaxed MgCoAsIr crystal, with properties calculated at the PBE level.

## Properties
energy above the most stable polymorph in this dataset	0	meV/atom

abc: 6.074 6.074 6.074
angles: 90.00 90.00 90.00
Space group F-43m (No. 216)
Symmetry-distinct sites (fractional):
Mg1 0.000 0.000 0.000 x4
Co1 0.250 0.250 0.750 x4
As1 0.000 0.000 0.500 x4
Ir1 0.250 0.250 0.250 x4

---

Below is a relaxed Cu2Ag3 crystal, with properties calculated at the PBE level.

## Properties
energy above the most stable polymorph in this dataset	68	meV/atom
ΔH_f (0 K)	0.100	eV/atom

abc: 4.848 14.071 4.827
angles: 90.00 108.77 90.00
Space group C2/m (No. 12)
Symmetry-distinct sites (fractional):
Cu1 0.000 0.000 0.000 x2
Cu2 0.000 0.200 0.000 x4
Cu3 0.000 0.500 0.500 x2
Ag1 0.000 0.097 0.500 x4
Ag2 0.000 0.300 0.500 x4
Ag3 0.000 0.400 0.000 x4

---

Below is a relaxed Li2Zn2SiGePd2 crystal, with properties calculated at the PBE level.

## Properties
electronic total energy	-30.16	eV per cell

abc: 4.313 4.313 6.097
angles: 90.00 90.00 90.00
Space group P-4m2 (No. 115)
Symmetry-distinct sites (fractional):
Li1 0.000 0.500 0.247 x2
Zn1 0.000 0.000 0.000 x1
Zn2 0.500 0.500 0.500 x1
Si1 0.500 0.500 0.000 x1
Ge1 0.000 0.000 0.500 x1
Pd1 0.000 0.500 0.762 x2

---

Below is a relaxed Sr2LiZrH6 crystal, with properties calculated at the PBE level.

## Properties
electronic total energy	-150.81	eV per cell

abc: 7.979 7.979 7.979
angles: 90.00 90.00 90.00
Space group Fm-3m (No. 225)
Symmetry-distinct sites (fractional):
Sr1 0.250 0.250 0.250 x8
Li1 0.000 0.000 0.000 x4
Zr1 0.000 0.000 0.500 x4
H1 0.000 0.000 0.242 x24

---

Below is a relaxed TlAg2ICl2 crystal, with properties calculated at the PBE level.

## Properties
electronic total energy	-33.23	eV per cell

abc: 7.595 5.808 8.793
angles: 90.00 107.61 90.00
Space group P2_1/m (No. 11)
Symmetry-distinct sites (fractional):
Tl1 0.186 0.250 0.384 x2
Ag1 0.381 0.501 0.834 x4
I1 0.271 0.750 0.079 x2
Cl1 0.085 0.250 0.695 x2
Cl2 0.386 0.750 0.583 x2

---

Below is a relaxed Zr2Ta crystal, with properties calculated at the PBE level.

## Properties
ΔH_f (0 K)	0.446	eV/atom

abc: 5.6381 5.6381 9.1147
angles: 90.00 90.00 120.00
Space group P6_3/mmc (No. 194)
Symmetry-distinct sites (fractional):
Zr1 0.0000 0.0000 0.0000 x2
Zr2 0.1753 0.3507 0.2500 x6
Ta1 0.3333 0.6667 0.5659 x4

---

Below is a relaxed Pr2Al2Pd crystal, with properties calculated at the PBE level.

## Properties
electronic total energy	-48.15	eV per cell

abc: 5.0289 5.0289 11.8128
angles: 90.00 90.00 120.00
Space group P6_3/mmc (No. 194)
Symmetry-distinct sites (fractional):
Pr1 0.0000 0.0000 0.0000 x2
Pr2 0.3333 0.6667 0.2500 x2
Al1 0.3333 0.6667 0.6303 x4
Pd1 0.0000 0.0000 0.2500 x2

---

Below is a relaxed TbPuAu crystal, with properties calculated at the PBE level.

## Properties
ΔH_f (0 K)	0.129	eV/atom

abc: 6.779 6.779 6.779
angles: 90.00 90.00 90.00
Space group F-43m (No. 216)
Symmetry-distinct sites (fractional):
Tb1 0.000 0.000 0.000 x4
Pu1 0.250 0.250 0.250 x4
Au1 0.000 0.000 0.500 x4

---

Below is a relaxed ScTc2 crystal, with properties calculated at the PBE level.

## Properties
energy above the most stable polymorph in this dataset	3728	meV/atom
ΔH_f (0 K)	3.425	eV/atom

abc: 11.452 11.452 11.452
angles: 90.00 90.00 90.00
Space group Fd-3m (No. 227, origin choice 2)
Symmetry-distinct sites (fractional):
Sc1 0.125 0.125 0.125 x8
Tc1 0.000 0.000 0.000 x16

---

Below is a relaxed PrNd3Br2N2 crystal, with properties calculated at the PBE level.

## Properties
electronic total energy	-50.35	eV per cell

abc: 3.7230 3.7230 14.6639
angles: 90.00 90.00 120.00
Space group P3m1 (No. 156)
Symmetry-distinct sites (fractional):
Pr1 0.0000 0.0000 0.0000 x1
Nd1 0.0000 0.0000 0.6817 x1
Nd2 0.3333 0.6667 0.1819 x1
Nd3 0.3333 0.6667 0.5013 x1
Br1 0.0000 0.0000 0.3419 x1
Br2 0.3333 0.6667 0.8392 x1
N1 0.6667 0.3333 0.0951 x1
N2 0.6667 0.3333 0.5915 x1

---

Below is a relaxed FeGe2Os crystal, with properties calculated at the PBE level.

## Properties
electronic total energy	-108.29	eV per cell

abc: 6.181 6.181 6.181
angles: 90.00 90.00 90.00
Space group F-43m (No. 216)
Symmetry-distinct sites (fractional):
Fe1 0.000 0.000 0.000 x4
Ge1 0.000 0.000 0.500 x4
Ge2 0.250 0.250 0.250 x4
Os1 0.250 0.250 0.750 x4

---

Below is a relaxed NaCuPdSe3 crystal, with properties calculated at the PBE level.

## Properties
energy above the most stable polymorph in this dataset	0	meV/atom

abc: 7.331 3.828 9.348
angles: 90.00 105.51 90.00
Space group P2_1/m (No. 11)
Symmetry-distinct sites (fractional):
Na1 0.249 0.250 0.193 x2
Cu1 0.435 0.250 0.906 x2
Pd1 0.176 0.750 0.650 x2
Se1 0.062 0.750 0.370 x2
Se2 0.234 0.750 0.935 x2
Se3 0.407 0.250 0.641 x2

---

Below is a relaxed TbNdZn2Au4 crystal, with properties calculated at the PBE level.

## Properties
ΔH_f (0 K)	-0.607	eV/atom

abc: 4.903 4.903 6.926
angles: 90.00 90.00 90.00
Space group P4/mmm (No. 123)
Symmetry-distinct sites (fractional):
Tb1 0.000 0.000 0.000 x1
Nd1 0.500 0.500 0.500 x1
Zn1 0.000 0.000 0.500 x1
Zn2 0.500 0.500 0.000 x1
Au1 0.000 0.500 0.241 x4

---

Below is a relaxed NbGaFe crystal, with properties calculated at the PBE level.

## Properties
electronic total energy	-78.74	eV per cell

abc: 5.943 5.943 5.943
angles: 90.00 90.00 90.00
Space group F-43m (No. 216)
Symmetry-distinct sites (fractional):
Nb1 0.000 0.000 0.000 x4
Ga1 0.250 0.250 0.750 x4
Fe1 0.250 0.250 0.250 x4

---

Below is a relaxed Na4MgAlHg2 crystal, with properties calculated at the PBE level.

## Properties
electronic total energy	-11.61	eV per cell

abc: 5.029 5.029 7.144
angles: 90.00 90.00 90.00
Space group P-4m2 (No. 115)
Symmetry-distinct sites (fractional):
Na1 0.000 0.000 0.000 x1
Na2 0.000 0.500 0.242 x2
Na3 0.500 0.500 0.500 x1
Mg1 0.000 0.000 0.500 x1
Al1 0.500 0.500 0.000 x1
Hg1 0.000 0.500 0.759 x2

---

Below is a relaxed SbPd7 crystal, with properties calculated at the PBE level.

## Properties
electronic total energy	-81.66	eV per cell

abc: 2.830 3.850 33.147
angles: 90.00 90.00 90.00
Space group Pmmn (No. 59, origin choice 2)
Symmetry-distinct sites (fractional):
Sb1 0.250 0.250 0.181 x2
Pd1 0.250 0.250 0.267 x2
Pd2 0.250 0.250 0.352 x2
Pd3 0.250 0.250 0.437 x2
Pd4 0.250 0.250 0.521 x2
Pd5 0.250 0.250 0.606 x2
Pd6 0.250 0.250 0.691 x2
Pd7 0.250 0.250 0.778 x2

---

Below is a relaxed LiGdCu crystal, with properties calculated at the PBE level.

## Properties
electronic total energy	-40.09	eV per cell

abc: 6.476 6.476 6.476
angles: 90.00 90.00 90.00
Space group F-43m (No. 216)
Symmetry-distinct sites (fractional):
Li1 0.000 0.000 0.000 x4
Gd1 0.000 0.000 0.500 x4
Cu1 0.250 0.250 0.750 x4

---

Here are the calculated ρ numbers, same order: 7.4, 10.4, 9.6, 6.7, 3.7, 5.6, 9.6, 5.7, 12.8, 2.1, 7.2, 11.0, 5.6, 12.2, 6.9, 5.0, 8.0, 5.6 (Mg/m³).